Entry 1:
DFT (PBE-GGA) results for an optimized crystal structure of Zr2Be.

Calculated values
DFT total energy: -6.86 eV/atom

Cell and atoms, written as POSCAR:
```
Zr2Be
1.0
5.0772 -1.5388 0.0000
5.0772 1.5388 0.0000
-1.4287 0.0000 7.1867
Zr Be
4 2
direct
0.0000 0.0000 0.0000
0.0651 0.0651 0.4706
0.3581 0.3581 0.6475
0.7599 0.7599 0.2490
0.2632 0.2632 0.9555
0.6472 0.6472 0.7884
```

Entry 2:
DFT (PBE-GGA) results for an optimized crystal structure of ZrBe5.

Calculated values
Energy above the lowest structure with this stoichiometry: 0.000 eV/f.u.

Cell and atoms, written as POSCAR:
```
ZrBe5
1.0
4.5663 0.0000 0.0000
-2.2832 3.9545 0.0000
0.0000 0.0000 3.4577
Zr Be
1 5
direct
0.0000 0.0000 0.0000
0.0000 0.5000 0.5000
0.3333 0.6667 0.0000
0.5000 0.0000 0.5000
0.5000 0.5000 0.5000
0.6667 0.3333 0.0000
```

Entry 3:
DFT (PBE-GGA) results for an optimized crystal structure of ZrBe2.

Calculated values
DFT total energy: -5.45 eV/atom

Cell and atoms, written as POSCAR:
```
ZrBe2
1.0
5.0364 -1.7746 0.0000
5.0364 1.7746 0.0000
-1.6686 0.0000 4.5241
Zr Be
2 4
direct
0.1161 0.1161 0.2941
0.8839 0.8839 0.7059
0.2206 0.2206 0.8663
0.4013 0.4013 0.2694
0.5987 0.5987 0.7306
0.7794 0.7794 0.1337
```

Entry 4:
DFT (PBE-GGA) results for an optimized crystal structure of Zr4Be5.

Calculated values
Energy above the lowest structure with this stoichiometry: 0.449 eV/f.u.

Cell and atoms, written as POSCAR:
```
Zr4Be5
1.0
-4.2314 4.2314 1.9549
4.2314 -4.2314 1.9549
4.2314 4.2314 -1.9549
Zr Be
4 5
direct
0.0000 0.3034 0.3034
0.0000 0.6966 0.6966
0.3034 0.0000 0.3034
0.6966 0.0000 0.6966
0.0000 0.0000 0.0000
0.3666 0.3666 0.7331
0.3666 0.6334 0.0000
0.6334 0.3666 0.0000
0.6334 0.6334 0.2669
```

| no. | ρ (g/cm³) | D(E_F) (states/eV/cell) |
| --- | --- | --- |
| 1 | 5.66 | 5.2 |
| 2 | 3.62 | 2.9 |
| 3 | 4.49 | 3.7 |
| 4 | 4.86 | 6.5 |